[1]
! CsYbF3 (PBE, relaxed); values from VASP
&SYSTEM
  ibrav = 0, nat = 5, ntyp = 3
/
ATOMIC_SPECIES
Cs 132.91 Cs.upf
F 19.00 F.upf
Yb 173.04 Yb.upf
ATOMIC_POSITIONS crystal
Cs 0.000 0.000 0.000
F 0.500 0.000 0.500
F 0.500 0.500 0.000
Yb 0.500 0.500 0.500
F 0.000 0.500 0.500
CELL_PARAMETERS angstrom
4.507 0.000 0.000
0.000 4.507 0.000
0.000 0.000 4.507
! DOS(E_F) in states/eV per atom: 0.000
! Uncorrected energy in eV per atom: -5.247
! Space-group type: Pm-3m, No. 221

=====

[2]
! Nd2PN (PBE, relaxed); values from VASP
&SYSTEM
  ibrav = 0, nat = 4, ntyp = 3
/
ATOMIC_SPECIES
Nd 144.24 Nd.upf
P 30.97 P.upf
N 14.01 N.upf
ATOMIC_POSITIONS crystal
Nd 0.092 0.092 0.723
P 0.667 0.667 0.000
N 0.496 0.496 0.512
Nd 0.245 0.245 0.265
CELL_PARAMETERS angstrom
-3.607 1.096 -0.499
-2.587 -0.687 2.702
-0.642 6.135 3.622
! DOS(E_F) in states/eV per atom: 0.069
! Uncorrected energy in eV per atom: -6.888
! Space-group type: R3m, No. 160

=====

> Among the records above, which one has the highest uncorrected energy?

CsYbF3

=====

> uncorrected energy of number 2 (Nd2PN)?

-6.888 eV per atom